# SiTc2Ag

SiTc2Ag after structural relaxation (PBE, Alexandria).

Structure (POSCAR):
```
SiTc2Ag
1.0
2.735 -0.034 0.000
-1.041 2.530 0.000
0.000 0.000 8.759
Ag Si Tc
1 1 2
Direct
0.500 0.500 0.250
0.500 0.500 0.750
0.000 0.000 0.969
0.000 0.000 0.531
```

energy relative to the elements, uncorrected: 88 kJ/mol of formula units
Fermi-level density of states: 4.249 states/eV/f.u.
magnetic moment: 0.0 μB per formula unit
VASP energy: -7.02 eV/atom

=====

# Si2Tc2Ag

Si2Tc2Ag after structural relaxation (PBE, Alexandria).

Structure (POSCAR):
```
Si2Tc2Ag
1.0
-2.121 -5.329 3.836
2.803 -4.380 -4.535
2.597 0.072 1.536
Si Tc Ag
4 4 2
Direct
0.363 0.863 0.000
0.863 0.637 0.000
0.637 0.137 0.000
0.137 0.363 0.000
0.155 0.655 0.500
0.655 0.845 0.500
0.845 0.345 0.500
0.345 0.155 0.500
0.000 0.000 0.000
0.500 0.500 0.000
```

energy relative to the elements, uncorrected: -89 kJ/mol of formula units
Fermi-level density of states: 2.494 states/eV/f.u.
magnetic moment: 0.0 μB per formula unit
VASP energy: -7.07 eV/atom

=====

# SiTc2Ag

SiTc2Ag after structural relaxation (PBE, Alexandria).

Structure (POSCAR):
```
SiTc2Ag
1.0
-5.748 -4.219 -0.218
1.845 -2.838 6.280
-3.297 -1.758 4.226
Si Tc Ag
2 4 2
Direct
0.500 0.500 0.000
0.250 0.750 0.500
0.576 0.125 0.250
0.174 0.625 0.250
0.375 0.424 0.750
0.875 0.826 0.750
0.000 0.000 0.000
0.750 0.250 0.500
```

energy relative to the elements, uncorrected: 181 kJ/mol of formula units
Fermi-level density of states: 3.854 states/eV/f.u.
magnetic moment: 0.0 μB per formula unit
VASP energy: -6.78 eV/atom

=====

# Si2Tc2Ag

Si2Tc2Ag after structural relaxation (PBE, Alexandria).

Structure (POSCAR):
```
Si2Tc2Ag
1.0
-3.300 0.338 -1.016
0.495 -2.436 -2.421
-3.148 -5.551 2.455
Si Tc Ag
2 2 1
Direct
0.750 0.250 0.500
0.250 0.750 0.500
0.387 0.387 0.226
0.613 0.613 0.774
0.000 0.000 0.000
```

energy relative to the elements, uncorrected: 37 kJ/mol of formula units
Fermi-level density of states: 4.982 states/eV/f.u.
magnetic moment: 0.0 μB per formula unit
VASP energy: -6.81 eV/atom

=====

# SiTc2Ag

SiTc2Ag after structural relaxation (PBE, Alexandria).

Structure (POSCAR):
```
SiTc2Ag
1.0
3.917 0.000 0.000
0.000 3.884 0.000
0.000 0.000 3.884
Ag Si Tc
1 1 2
Direct
0.500 0.500 0.000
0.500 0.000 0.500
0.000 0.000 0.000
0.000 0.500 0.500
```

energy relative to the elements, uncorrected: 153 kJ/mol of formula units
Fermi-level density of states: 4.830 states/eV/f.u.
magnetic moment: 0.0 μB per formula unit
VASP energy: -6.85 eV/atom

=====

# SiTc2Ag

SiTc2Ag after structural relaxation (PBE, Alexandria).

Structure (POSCAR):
```
SiTc2Ag
1.0
2.862 0.000 0.000
0.000 3.764 0.000
0.000 0.000 5.603
Ag Si Tc
1 1 2
Direct
0.000 0.000 0.509
0.500 0.500 0.765
0.000 0.000 0.009
0.500 0.500 0.217
```

energy relative to the elements, uncorrected: 84 kJ/mol of formula units
Fermi-level density of states: 3.170 states/eV/f.u.
magnetic moment: 0.0 μB per formula unit
VASP energy: -7.03 eV/atom

=====

# SiTc2Ag

SiTc2Ag after structural relaxation (PBE, Alexandria).

Structure (POSCAR):
```
SiTc2Ag
1.0
2.735 0.018 0.000
-0.969 2.558 0.000
0.000 0.000 8.746
Ag Si Tc
1 1 2
Direct
0.000 0.000 0.510
0.500 0.500 0.772
0.000 0.000 0.989
0.500 0.500 0.229
```

energy relative to the elements, uncorrected: 120 kJ/mol of formula units
Fermi-level density of states: 3.785 states/eV/f.u.
magnetic moment: 0.0 μB per formula unit
VASP energy: -6.94 eV/atom

=====

# SiTc2Ag

SiTc2Ag after structural relaxation (PBE, Alexandria).

Structure (POSCAR):
```
SiTc2Ag
1.0
-2.759 0.445 0.087
-0.513 -3.762 2.976
0.193 0.132 5.461
Ag Si Tc
1 1 2
Direct
0.500 0.500 0.500
0.000 0.000 0.500
0.000 0.000 0.000
0.500 0.500 0.000
```

energy relative to the elements, uncorrected: 129 kJ/mol of formula units
Fermi-level density of states: 3.885 states/eV/f.u.
magnetic moment: 0.0 μB per formula unit
VASP energy: -6.92 eV/atom

=====

# SiTc3Ag

SiTc3Ag after structural relaxation (PBE, Alexandria).

Structure (POSCAR):
```
SiTc3Ag
1.0
4.419 0.000 0.000
0.000 4.419 0.000
0.000 0.000 4.419
Si Tc Ag
1 3 1
Direct
0.000 0.000 0.000
0.000 0.500 0.000
0.000 0.000 0.500
0.500 0.000 0.000
0.500 0.500 0.500
```

energy relative to the elements, uncorrected: 477 kJ/mol of formula units
Fermi-level density of states: 4.990 states/eV/f.u.
magnetic moment: 0.0 μB per formula unit
VASP energy: -6.89 eV/atom

=====

# Si3TcAg

Si3TcAg after structural relaxation (PBE, Alexandria).

Structure (POSCAR):
```
Si3TcAg
1.0
4.679 0.000 0.000
0.000 4.679 0.000
0.000 0.000 4.679
Si Tc Ag
3 1 1
Direct
0.000 0.500 0.000
0.000 0.000 0.500
0.500 0.000 0.000
0.000 0.000 0.000
0.500 0.500 0.500
```

energy relative to the elements, uncorrected: 226 kJ/mol of formula units
Fermi-level density of states: 1.207 states/eV/f.u.
magnetic moment: 0.0 μB per formula unit
VASP energy: -5.43 eV/atom

=====

# SiTc2Ag

SiTc2Ag after structural relaxation (PBE, Alexandria).

Structure (POSCAR):
```
SiTc2Ag
1.0
-0.603 0.989 -4.520
1.868 -0.397 -4.258
-2.131 -4.048 -1.323
Ag Si Tc
1 1 2
Direct
0.500 0.500 0.511
0.741 0.741 0.762
0.003 0.003 0.008
0.256 0.256 0.219
```

energy relative to the elements, uncorrected: 88 kJ/mol of formula units
Fermi-level density of states: 3.011 states/eV/f.u.
magnetic moment: 0.0 μB per formula unit
VASP energy: -7.02 eV/atom

=====

# SiTc2Ag

SiTc2Ag after structural relaxation (PBE, Alexandria).

Structure (POSCAR):
```
SiTc2Ag
1.0
-2.365 -1.522 2.715
2.091 -1.789 0.818
2.963 2.584 4.030
Ag Si Tc
1 1 2
Direct
0.500 0.250 0.250
0.500 0.750 0.750
0.000 0.923 0.966
0.000 0.577 0.534
```

energy relative to the elements, uncorrected: 85 kJ/mol of formula units
Fermi-level density of states: 4.255 states/eV/f.u.
magnetic moment: 0.0 μB per formula unit
VASP energy: -7.03 eV/atom